Crystalline Pm3Tm2Cd2 at its relaxed geometry. Source: Alexandria via LeMat-Bulk, functional GGA-PBE.

a = 5.431 Å, b = 5.432 Å, c = 8.609 Å
α = 108.37°, β = 90.00°, γ = 119.99°
Positions (direct):
Pm  0.500  0.000  0.000
Pm  0.658  0.317  0.475
Pm  0.342  0.683  0.525
Tm  0.927  0.854  0.281
Tm  0.073  0.146  0.719
Cd  0.790  0.580  0.869
Cd  0.210  0.420  0.131

Offset from the most stable computed form   0.000 eV per atom
Calculated volume   204.9 Å³/cell
Energy of formation from the pure elements   -0.146 eV per atom

***

Crystalline Pm2TmCd8 at its relaxed geometry. Source: Alexandria via LeMat-Bulk, functional GGA-PBE.

a = 5.005 Å, b = 7.085 Å, c = 8.342 Å
α = 106.58°, β = 107.34°, γ = 90.01°
Positions (direct):
Pm  0.217  0.650  0.432
Pm  0.783  0.350  0.568
Tm  0.500  0.000  0.000
Cd  0.671  0.890  0.340
Cd  0.409  0.543  0.822
Cd  0.144  0.130  0.288
Cd  0.987  0.283  0.971
Cd  0.856  0.870  0.712
Cd  0.591  0.457  0.178
Cd  0.329  0.110  0.660
Cd  0.013  0.717  0.029

Calculated volume   269.4 Å³/cell
Energy of formation from the pure elements   -0.241 eV per atom

***

Crystalline Pm12Tm7Cd at its relaxed geometry. Source: Alexandria via LeMat-Bulk, functional GGA-PBE.

a = 9.954 Å, b = 9.954 Å, c = 9.954 Å
α = 109.47°, β = 109.47°, γ = 109.47°
Positions (direct):
Pm  0.531  0.765  0.766
Pm  0.999  0.765  0.234
Pm  0.469  0.235  0.234
Pm  0.001  0.235  0.766
Pm  0.766  0.001  0.235
Pm  0.766  0.531  0.765
Pm  0.234  0.999  0.765
Pm  0.234  0.469  0.235
Pm  0.765  0.766  0.531
Pm  0.235  0.234  0.469
Pm  0.765  0.234  0.999
Pm  0.235  0.766  0.001
Tm  0.500  0.500  0.000
Tm  0.000  0.500  0.500
Tm  0.500  0.000  0.500
Tm  0.500  0.500  0.500
Tm  0.000  0.000  0.500
Tm  0.500  0.000  0.000
Tm  0.000  0.500  0.000
Cd  0.000  0.000  0.000

Calculated volume   759.2 Å³/cell
Energy of formation from the pure elements   0.695 eV per atom

***

Crystalline PmTm6Cd2 at its relaxed geometry. Source: Alexandria via LeMat-Bulk, functional GGA-PBE.

a = 3.686 Å, b = 6.525 Å, c = 11.634 Å
α = 74.96°, β = 80.88°, γ = 73.59°
Positions (direct):
Pm  0.000  0.000  0.000
Tm  0.684  0.508  0.125
Tm  0.316  0.492  0.875
Tm  0.313  0.792  0.582
Tm  0.986  0.685  0.343
Tm  0.014  0.315  0.657
Tm  0.687  0.208  0.418
Cd  0.350  0.083  0.217
Cd  0.650  0.917  0.783

Calculated volume   258.1 Å³/cell
Energy of formation from the pure elements   -0.120 eV per atom